NaTi3P3O13: single point on PBEsol structure, SCAN.

Cell lengths 7.6254, 6.3482, 10.3470 Å; angles 90.00, 99.72, 90.00 degrees
Closest atoms and distances in Å follow each position.
Element x y z (fractional)
Na: 0.1569 0.2500 0.1857  5 O 2.44-2.52
Na: 0.8431 0.7500 0.8143  5 O 2.44-2.52
Ti: 0.1404 0.2500 0.8073  5 O 1.83-2.03
Ti: 0.2888 0.7500 0.4404  5 O 1.83-1.98
Ti: 0.5000 0.0000 0.0000  6 O 2.01-2.13
Ti: 0.5000 0.5000 0.0000  6 O 2.01-2.13
Ti: 0.7112 0.2500 0.5596  5 O 1.83-1.98
Ti: 0.8596 0.7500 0.1927  5 O 1.83-2.03
P: 0.1902 0.7500 0.1168  4 O 1.54-1.57
P: 0.2355 0.7500 0.7651  4 O 1.53-1.57
P: 0.2782 0.2500 0.5162  4 O 1.52-1.57
P: 0.7218 0.7500 0.4838  4 O 1.52-1.57
P: 0.7645 0.2500 0.2349  4 O 1.53-1.57
P: 0.8098 0.2500 0.8832  4 O 1.54-1.57
O: 0.0025 0.2500 0.9591  1 P 1.55
O: 0.1243 0.5580 0.7902  1 P 1.53
O: 0.1243 0.9420 0.7902  1 P 1.53
O: 0.1501 0.7500 0.2606  1 P 1.57
O: 0.1612 0.2500 0.6215  1 P 1.52
O: 0.2436 0.0555 0.4271  1 P 1.54
O: 0.2436 0.4445 0.4271  1 P 1.54
O: 0.2833 0.7500 0.6268  1 P 1.53
O: 0.2942 0.5498 0.0940  1 P 1.54
O: 0.2942 0.9502 0.0940  1 P 1.54
O: 0.3649 0.2500 0.9036  1 Ti 1.83
O: 0.4123 0.7500 0.8682  1 P 1.57
O: 0.4788 0.2500 0.5844  1 P 1.57
O: 0.5212 0.7500 0.4156  1 P 1.57
O: 0.5877 0.2500 0.1318  1 P 1.57
O: 0.6351 0.7500 0.0964  1 Ti 1.83
O: 0.7058 0.0498 0.9060  1 P 1.54
O: 0.7058 0.4502 0.9060  1 P 1.54
O: 0.7167 0.2500 0.3732  1 P 1.53
O: 0.7564 0.5555 0.5729  1 P 1.54
O: 0.7564 0.9445 0.5729  1 P 1.54
O: 0.8388 0.7500 0.3785  1 P 1.52
O: 0.8499 0.2500 0.7394  1 P 1.57
O: 0.8757 0.0580 0.2098  1 P 1.53
O: 0.8757 0.4420 0.2098  1 P 1.53
O: 0.9975 0.7500 0.0409  1 P 1.55

Computed properties:
For the total energy, the calculation gives -11.0429 eV/atom. Its space group is P2_1/m. Its density is 3.145 g/cm3.